Material: BeCdRu3
Method: DFT, PBE
State: optimized geometry

a = 4.189 Å, b = 4.189 Å, c = 4.189 Å
α = 90.00°, β = 90.00°, γ = 90.00°
Atoms (fractional coordinates):
1 Be 0.000 0.000 0.000
2 Cd 0.500 0.500 0.500
3 Ru 0.000 0.000 0.500
4 Ru 0.000 0.500 0.000
5 Ru 0.500 0.000 0.000

Values from the calculation:
Offset from the most stable computed form in eV per formula unit: 0.00
DFT formation energy in eV/atom: 0.5589
Size of the total moment in μB per formula unit: 1.8
Fermi-level density of states in states/eV per atom: 0.9519